# 1
Compound: NbVO5
Source: the Alexandria database
Functional: GGA-PBEsol
Structure: optimized geometry

Calculated values
- Energy relative to the elements, uncorrected: -235.4 kJ per mole of atoms
- Calculated volume: 16.771 Å³ per atom
- DFT total energy: -255.136 eV for the cell shown
- Calculated density: 3.17 g/cm3
- Energy relative to the lowest polymorph listed for this composition: 0 kJ/mol of formula units

Unit cell a=11.9677 b=5.5842 c=7.0265 alpha=90.00 beta=90.00 gamma=90.00
Space group Pnma (No. 62)
Inequivalent atoms, fractional coordinates:
Nb (0.0596, 0.2500, 0.1579)
V (0.1537, 0.7500, 0.4706)
O (0.0000, 0.0000, 0.0000)
O (0.0756, 0.7500, 0.6752)
O (0.1243, 0.5018, 0.3423)
O (0.2058, 0.2500, 0.0305)

***

# 2
Compound: NbV3O8
Source: the Alexandria database
Functional: GGA-PBEsol
Structure: optimized geometry

Calculated values
- Energy relative to the elements, uncorrected: -230.5 kJ per mole of atoms
- Calculated volume: 11.820 Å³ per atom
- DFT total energy: -220.764 eV for the cell shown
- Calculated density: 4.38 g/cm3
- Energy relative to the lowest polymorph listed for this composition: 0 kJ/mol of formula units

Unit cell a=12.0604 b=3.7866 c=6.4800 alpha=90.00 beta=106.55 gamma=90.00
Space group Cm (No. 8)
Inequivalent atoms, fractional coordinates:
Nb (0.0000, 0.0000, 0.0000)
V (0.1030, 0.5000, 0.4506)
V (0.1987, 0.5000, 0.0248)
V (0.3985, 0.5000, 0.4102)
O (0.0382, 0.5000, 0.0757)
O (0.0663, 0.0000, 0.3817)
O (0.1572, 0.5000, 0.7223)
O (0.1759, 0.0000, 0.0267)
O (0.2401, 0.5000, 0.3559)
O (0.3593, 0.5000, 0.0871)
O (0.4348, 0.0000, 0.4159)
O (0.4368, 0.5000, 0.7112)

***

# 3
Compound: NbV3O8
Source: the Alexandria database
Functional: GGA-PBEsol
Structure: optimized geometry

Calculated values
- Energy relative to the elements, uncorrected: -224.7 kJ per mole of atoms
- Calculated volume: 11.052 Å³ per atom
- DFT total energy: -438.655 eV for the cell shown
- Calculated density: 4.68 g/cm3
- Energy relative to the lowest polymorph listed for this composition: 69 kJ/mol of formula units

Unit cell a=5.6679 b=9.9110 c=9.4437 alpha=90.00 beta=90.00 gamma=90.00
Space group Cmc2_1 (No. 36)
Inequivalent atoms, fractional coordinates:
Nb (0.0000, 0.1396, 0.0000)
V (0.0000, 0.3304, 0.7261)
V (0.2249, 0.4004, 0.2293)
O (0.0000, 0.0170, 0.8421)
O (0.0000, 0.1693, 0.6252)
O (0.0000, 0.3251, 0.1047)
O (0.0000, 0.4978, 0.8299)
O (0.2287, 0.2397, 0.8498)
O (0.2451, 0.4245, 0.6164)

***

# 4
Compound: NbVO5
Source: the Alexandria database
Functional: GGA-PBEsol
Structure: optimized geometry

Calculated values
- Energy relative to the elements, uncorrected: -233.2 kJ per mole of atoms
- Calculated volume: 13.472 Å³ per atom
- DFT total energy: -127.246 eV for the cell shown
- Calculated density: 3.94 g/cm3
- Energy relative to the lowest polymorph listed for this composition: 16 kJ/mol of formula units

Unit cell a=6.7973 b=6.7973 c=4.0823 alpha=90.00 beta=90.00 gamma=90.00
Space group P4/n (No. 85, origin choice 2)
Inequivalent atoms, fractional coordinates:
Nb (0.2500, 0.2500, 0.1990)
V (0.2500, 0.7500, 0.5000)
O (0.0421, 0.7578, 0.7348)
O (0.2500, 0.2500, 0.7575)

***

Which of these has the highest DFT total energy?
number 4

***

The highest energy relative to the elements, uncorrected belongs to which entry?
number 3

***

Which value of calculated density does entry 3 give?
4.68 g/cm3

***

What is the calculated density in the first record?
3.17 g/cm3